Entry 1:
The following is a DFT calculation (PBE) of a relaxed BaBCl2 crystal.

The density of states at the Fermi level is 1.031 states/eV per atom. As for the formation energy without anion corrections: -0.416 eV per atom. For the energy above the most stable polymorph in this dataset, the calculation gives 0.0000 eV/atom. Its total energy is -55.828 eV/cell. For the size of the total moment, the calculation gives 1.00 μB/f.u.

It has space group Fm-3m (No. 225), with a = 7.4671 Å, b = 7.4671 Å, c = 7.4671 Å, α = 90.00°, β = 90.00° and γ = 90.00°. The inequivalent atoms are Ba at (0.0000, 0.0000, 0.0000), B at (0.0000, 0.0000, 0.5000) and Cl at (0.2500, 0.2500, 0.2500).

=====

Entry 2:
The following is a DFT calculation (PBE) of a relaxed Cd2AgAs crystal.

The calculation puts the energy relative to the elements at 249.2 meV/atom. The density of states at the Fermi level is 0.000 states/eV per atom. Its total energy is -33.336 eV/cell. For the size of the total moment, the calculation gives 0.00 μB/f.u.

It has space group I-42d (No. 122), with a = 6.0067 Å, b = 6.0067 Å, c = 13.5753 Å, α = 90.00°, β = 90.00° and γ = 90.00°. The inequivalent atoms are Cd at (0.2172, 0.2500, 0.1250), Ag at (0.0000, 0.0000, 0.5000) and As at (0.0000, 0.0000, 0.0000).